1.
Entry from the Alexandria database: a relaxed LiNd3Au2 crystal (PBE).

CIF file:
```
data_LiNd3Au2
_chemical_formula_sum 'Li2 Nd6 Au4'
_cell_length_a 5.133
_cell_length_b 15.883
_cell_length_c 3.821
_cell_angle_alpha 90.00
_cell_angle_beta 90.00
_cell_angle_gamma 90.00
_space_group_name_H-M_alt 'C m m m'
_space_group_IT_number 65
_space_group_name_Hall '-C 2 2'
loop_
_atom_site_label
_atom_site_fract_x
_atom_site_fract_y
_atom_site_fract_z
_atom_site_occupancy
Li1 0.000 0.000 0.000 1
Nd1 0.000 0.174 0.500 1
Nd2 0.000 0.500 0.500 1
Au1 0.000 0.348 0.000 1
```

- Crystal system: orthorhombic
- Size of the total moment: 0.00 μB per atom
- E_tot: -4.3125 eV per atom

***

2.
Entry from the Alexandria database: a relaxed Re5Se crystal (PBE).

CIF file:
```
data_Re5Se
_chemical_formula_sum 'Re5 Se1'
_cell_length_a 2.904
_cell_length_b 2.904
_cell_length_c 10.763
_cell_angle_alpha 90.00
_cell_angle_beta 90.00
_cell_angle_gamma 90.00
_space_group_name_H-M_alt 'P 4/m m m'
_space_group_IT_number 123
_space_group_name_Hall '-P 4 2'
loop_
_atom_site_label
_atom_site_fract_x
_atom_site_fract_y
_atom_site_fract_z
_atom_site_occupancy
Re1 0.000 0.000 0.000 1
Re2 0.000 0.000 0.340 1
Re3 0.500 0.500 0.177 1
Se1 0.500 0.500 0.500 1
```

- Crystal system: tetragonal
- Size of the total moment: 0.00 μB per atom
- Offset from the most stable computed form: 0.000 eV per atom
- E_tot: -10.7040 eV per atom
- Energy relative to the elements, uncorrected: 0.250 eV per atom

***

3.
Entry from the Alexandria database: a relaxed ZrPaSnMo crystal (PBE).

CIF file:
```
data_ZrPaSnMo
_chemical_formula_sum 'Zr4 Pa4 Sn4 Mo4'
_cell_length_a 7.076
_cell_length_b 7.076
_cell_length_c 7.076
_cell_angle_alpha 90.00
_cell_angle_beta 90.00
_cell_angle_gamma 90.00
_space_group_name_H-M_alt 'F -4 3 m'
_space_group_IT_number 216
_space_group_name_Hall 'F -4 2 3'
loop_
_atom_site_label
_atom_site_fract_x
_atom_site_fract_y
_atom_site_fract_z
_atom_site_occupancy
Zr1 0.000 0.000 0.000 1
Pa1 0.000 0.000 0.500 1
Sn1 0.250 0.250 0.750 1
Mo1 0.250 0.250 0.250 1
```

- Crystal system: cubic
- Size of the total moment: 0.00 μB per atom
- E_tot: -8.1468 eV per atom

***

4.
Entry from the Alexandria database: a relaxed GeIr crystal (PBE).

CIF file:
```
data_GeIr
_chemical_formula_sum 'Ge6 Ir6'
_cell_length_a 6.790
_cell_length_b 6.790
_cell_length_c 6.790
_cell_angle_alpha 90.00
_cell_angle_beta 90.00
_cell_angle_gamma 90.00
_space_group_name_H-M_alt 'P m -3 n'
_space_group_IT_number 223
_space_group_name_Hall '-P 4n 2 3'
loop_
_atom_site_label
_atom_site_fract_x
_atom_site_fract_y
_atom_site_fract_z
_atom_site_occupancy
Ge1 0.000 0.250 0.500 1
Ir1 0.000 0.500 0.250 1
```

- Crystal system: cubic
- Size of the total moment: 0.00 μB per atom
- E_tot: -6.4121 eV per atom

***

5.
Entry from the Alexandria database: a relaxed CsSm2Ti2NbO10 crystal (PBE).

CIF file:
```
data_CsSm2Ti2NbO10
_chemical_formula_sum 'Cs2 Sm4 Ti4 Nb2 O20'
_cell_length_a 5.517
_cell_length_b 5.463
_cell_length_c 15.625
_cell_angle_alpha 90.00
_cell_angle_beta 90.65
_cell_angle_gamma 90.00
_space_group_name_H-M_alt 'C 1 m 1'
_space_group_IT_number 8
_space_group_name_Hall 'C -2y'
loop_
_atom_site_label
_atom_site_fract_x
_atom_site_fract_y
_atom_site_fract_z
_atom_site_occupancy
Cs1 0.000 0.000 0.000 1
Sm1 0.463 0.500 0.385 1
Sm2 0.471 0.500 0.667 1
Ti1 0.001 0.500 0.513 1
Ti2 0.492 0.000 0.792 1
Nb1 0.004 0.500 0.234 1
O1 0.002 0.500 0.119 1
O2 0.024 0.500 0.632 1
O3 0.033 0.500 0.384 1
O4 0.241 0.247 0.756 1
O5 0.268 0.256 0.267 1
O6 0.282 0.260 0.502 1
O7 0.497 0.000 0.901 1
```

- Crystal system: monoclinic
- Size of the total moment: 0.00 μB per atom
- E_tot: -8.3288 eV per atom
- Energy relative to the elements, uncorrected: -2.970 eV per atom

***

6.
Entry from the Alexandria database: a relaxed ZrNiH3 crystal (PBE).

CIF file:
```
data_ZrNiH3
_chemical_formula_sum 'Zr1 Ni1 H3'
_cell_length_a 3.704
_cell_length_b 3.704
_cell_length_c 3.704
_cell_angle_alpha 90.00
_cell_angle_beta 90.00
_cell_angle_gamma 90.00
_space_group_name_H-M_alt 'P m -3 m'
_space_group_IT_number 221
_space_group_name_Hall '-P 4 2 3'
loop_
_atom_site_label
_atom_site_fract_x
_atom_site_fract_y
_atom_site_fract_z
_atom_site_occupancy
Zr1 0.000 0.000 0.000 1
Ni1 0.500 0.500 0.500 1
H1 0.000 0.000 0.500 1
```

- Crystal system: cubic
- Size of the total moment: 0.00 μB per atom
- E_tot: -4.6234 eV per atom

***

7.
Entry from the Alexandria database: a relaxed ZnBPt3 crystal (PBE).

CIF file:
```
data_ZnBPt3
_chemical_formula_sum 'Zn1 B1 Pt3'
_cell_length_a 4.621
_cell_length_b 4.621
_cell_length_c 4.621
_cell_angle_alpha 90.00
_cell_angle_beta 90.00
_cell_angle_gamma 90.00
_space_group_name_H-M_alt 'P m -3 m'
_space_group_IT_number 221
_space_group_name_Hall '-P 4 2 3'
loop_
_atom_site_label
_atom_site_fract_x
_atom_site_fract_y
_atom_site_fract_z
_atom_site_occupancy
Zn1 0.000 0.000 0.000 1
B1 0.500 0.500 0.500 1
Pt1 0.000 0.000 0.500 1
```

- Crystal system: cubic
- Size of the total moment: 0.00 μB per atom
- Offset from the most stable computed form: 2.062 eV per atom
- E_tot: -3.5520 eV per atom

***

8.
Entry from the Alexandria database: a relaxed Ta2HgW crystal (PBE).

CIF file:
```
data_Ta2HgW
_chemical_formula_sum 'Ta2 Hg1 W1'
_cell_length_a 3.316
_cell_length_b 3.316
_cell_length_c 6.656
_cell_angle_alpha 90.00
_cell_angle_beta 90.00
_cell_angle_gamma 90.00
_space_group_name_H-M_alt 'P 4/m m m'
_space_group_IT_number 123
_space_group_name_Hall '-P 4 2'
loop_
_atom_site_label
_atom_site_fract_x
_atom_site_fract_y
_atom_site_fract_z
_atom_site_occupancy
Ta1 0.000 0.000 0.226 1
Hg1 0.500 0.500 0.500 1
W1 0.500 0.500 0.000 1
```

- Crystal system: tetragonal
- Size of the total moment: 0.00 μB per atom
- E_tot: -9.0733 eV per atom